DFT (PBE) results for a relaxed Ta2BeCd crystal.

```
4
Lattice="-2.9444 2.2290 1.3792 -1.2357 -2.3452 1.1522 1.9342 -1.0839 5.8810" Properties=species:S:1:pos:R:3 pbc="T T T"
Ta 0.3206 -1.6517 3.3540
Ta 0.0286 -0.0628 0.1626
Be -1.2976 0.2572 2.4479
Cd -0.9483 -1.4573 5.9645
```

Values from the calculation:
D(E_F) (states/eV/atom): 0.464
ΔE to the lowest computed polymorph (meV per atom): 191
Calculated total energy (eV per atom): -6.782
E_form (eV/f.u.): 1.22
Symmetry: P2/m, No. 10